1.
Below is a relaxed structure of Pm6TeO12, with properties calculated at the GGA-PBE level.

abc: 6.640 6.640 6.640
angles: 98.64 98.64 98.64
Fractional positions:
Pm 0.110 0.811 0.645
Pm 0.189 0.355 0.890
Pm 0.355 0.890 0.189
Pm 0.645 0.110 0.811
Pm 0.811 0.645 0.110
Pm 0.890 0.189 0.355
Te 0.500 0.500 0.500
O 0.062 0.908 0.322
O 0.092 0.678 0.938
O 0.208 0.432 0.531
O 0.322 0.062 0.908
O 0.432 0.531 0.208
O 0.469 0.792 0.568
O 0.531 0.208 0.432
O 0.568 0.469 0.792
O 0.678 0.938 0.092
O 0.792 0.568 0.469
O 0.908 0.322 0.062
O 0.938 0.092 0.678

Summary:
Its total magnetic moment is 0.0 μB per formula unit. Its total DFT energy (no corrections) is -7.80 eV per atom.

***

2.
Below is a relaxed structure of Pm2Te2O5, with properties calculated at the GGA-PBE level.

abc: 4.112 4.112 8.606
angles: 90.00 90.00 90.00
Fractional positions:
Pm 0.000 0.000 0.248
Pm 0.000 0.000 0.752
Te 0.500 0.500 0.000
Te 0.500 0.500 0.500
O 0.000 0.000 0.000
O 0.000 0.500 0.357
O 0.000 0.500 0.643
O 0.500 0.000 0.357
O 0.500 0.000 0.643

Summary:
Its total magnetic moment is 0.0 μB per formula unit. The calculation puts the energy above the lowest structure with this stoichiometry at 0.0000 eV per atom.

***

3.
Below is a relaxed structure of Pm2TeO6, with properties calculated at the GGA-PBE level.

abc: 5.464 6.014 9.063
angles: 90.00 121.11 90.00
Fractional positions:
Pm 0.208 0.079 0.248
Pm 0.208 0.421 0.748
Pm 0.792 0.579 0.252
Pm 0.792 0.921 0.752
Te 0.500 0.000 0.000
Te 0.500 0.500 0.500
O 0.161 0.164 0.953
O 0.161 0.336 0.453
O 0.271 0.729 0.923
O 0.271 0.771 0.423
O 0.408 0.063 0.769
O 0.408 0.437 0.269
O 0.592 0.563 0.731
O 0.592 0.937 0.231
O 0.729 0.229 0.577
O 0.729 0.271 0.077
O 0.839 0.664 0.547
O 0.839 0.836 0.047

Summary:
Its total magnetic moment is 0.0 μB per formula unit. Its total DFT energy (no corrections) is -7.15 eV per atom.

***

4.
Below is a relaxed structure of Pm2Te2O5, with properties calculated at the GGA-PBE level.

abc: 4.301 4.301 7.179
angles: 90.00 90.00 90.00
Fractional positions:
Pm 0.000 0.000 0.000
Pm 0.000 0.000 0.500
Te 0.500 0.500 0.204
Te 0.500 0.500 0.796
O 0.000 0.500 0.266
O 0.000 0.500 0.734
O 0.500 0.000 0.266
O 0.500 0.000 0.734
O 0.500 0.500 0.500

Summary:
Its total magnetic moment is 0.0 μB per formula unit. The calculation puts the energy above the lowest structure with this stoichiometry at 0.4357 eV per atom.

***

5.
Below is a relaxed structure of PmTmTeO2, with properties calculated at the GGA-PBE level.

abc: 6.852 6.852 6.852
angles: 146.61 146.61 47.94
Fractional positions:
Pm 0.000 0.000 0.000
Tm 0.677 0.677 0.000
Te 0.340 0.340 0.000
O 0.097 0.597 0.500
O 0.597 0.097 0.500

Summary:
Its total magnetic moment is 0.0 μB per formula unit. Its total DFT energy (no corrections) is -7.39 eV per atom.

***

6.
Below is a relaxed structure of PmTl2O4, with properties calculated at the GGA-PBE level.

abc: 6.938 6.938 6.938
angles: 60.00 60.00 60.00
Fractional positions:
Pm 0.125 0.125 0.125
Pm 0.875 0.875 0.875
Tl 0.000 0.500 0.500
Tl 0.500 0.000 0.500
Tl 0.500 0.500 0.000
Tl 0.500 0.500 0.500
O 0.257 0.257 0.257
O 0.257 0.257 0.730
O 0.257 0.730 0.257
O 0.270 0.743 0.743
O 0.730 0.257 0.257
O 0.743 0.270 0.743
O 0.743 0.743 0.270
O 0.743 0.743 0.743

Summary:
Its total magnetic moment is 0.0 μB per formula unit. Its total DFT energy (no corrections) is -5.67 eV per atom.